(1)
PBE-GGA Ba2TcAs, relaxed; energy = -17.1 eV/cell
1.0
5.3697 0.0000 0.0000
2.6848 4.6503 0.0000
2.6848 1.5501 4.3843
Ba As Tc
2 1 1
Direct
0.0000 0.0000 0.0000
0.2500 0.2500 0.2500
0.5000 0.5000 0.5000
0.7500 0.7500 0.7500

***

(2)
PBE-GGA ZrAgRh, relaxed; energy = -19.1 eV/cell; polymorph energy (0 for the lowest one) = 284 meV/atom
1.0
4.4557 0.0000 0.0000
2.2278 3.8587 0.0000
2.2278 1.2862 3.6380
Zr Rh Ag
1 1 1
Direct
0.0000 0.0000 0.0000
0.7500 0.7500 0.7500
0.5000 0.5000 0.5000

***

Energy of formation from the pure elements per entry: 0.447 -0.130 eV per atom
Total moment per entry: 2.0 0.0 Bohr magnetons per cell